No. 1
Compound: Nd4YTm4
Source: Alexandria via LeMat-Bulk
Functional: PBE
Structure: optimized geometry

abc: 10.760 10.760 5.058
angles: 90.00 90.00 90.00
Space group I4/mmm (No. 139)
Unique sites:
Nd 0.168 0.168 0.000 (multiplicity 8)
Y 0.000 0.000 0.500 (multiplicity 2)
Tm 0.000 0.336 0.500 (multiplicity 8)

Calculated values
volume = 586 Å³/cell
M_tot = 0.000 μB per formula unit
energy = -4.8020 eV per atom

---

No. 2
Compound: NdY8Tm3
Source: Alexandria via LeMat-Bulk
Functional: PBE
Structure: optimized geometry

abc: 6.171 7.090 9.441
angles: 78.71 77.20 73.56
Space group P-1 (No. 2)
Unique sites:
Nd 0.000 0.000 0.000 (multiplicity 1)
Y 0.001 0.335 0.666 (multiplicity 2)
Y 0.002 0.833 0.666 (multiplicity 2)
Y 0.499 0.169 0.832 (multiplicity 2)
Y 0.500 0.333 0.168 (multiplicity 2)
Tm 0.000 0.500 0.000 (multiplicity 1)
Tm 0.500 0.000 0.500 (multiplicity 1)
Tm 0.500 0.500 0.500 (multiplicity 1)

Calculated values
volume = 382 Å³/cell
M_tot = 0.000 μB per formula unit
energy = -5.8046 eV per atom

---

No. 3
Compound: Nd12YTm2
Source: Alexandria via LeMat-Bulk
Functional: PBE
Structure: optimized geometry

abc: 7.198 11.642 25.017
angles: 90.00 90.00 90.00
Space group Cmme (No. 67)
Unique sites:
Nd 0.000 0.002 0.074 (multiplicity 8)
Nd 0.000 0.023 0.560 (multiplicity 8)
Nd 0.231 0.250 0.414 (multiplicity 8)
Nd 0.249 0.250 0.869 (multiplicity 8)
Nd 0.250 0.000 0.199 (multiplicity 8)
Nd 0.250 0.000 0.324 (multiplicity 8)
Y 0.000 0.250 0.999 (multiplicity 4)
Tm 0.000 0.250 0.267 (multiplicity 4)
Tm 0.000 0.250 0.730 (multiplicity 4)

Calculated values
volume = 2096 Å³/cell
M_tot = 0.001 μB per formula unit
energy = -4.6833 eV per atom

---

No. 4
Compound: NdYTm4
Source: Alexandria via LeMat-Bulk
Functional: PBE
Structure: optimized geometry

abc: 8.709 14.518 6.483
angles: 90.00 109.96 90.00
Space group C2/c (No. 15)
Unique sites:
Nd 0.000 0.003 0.250 (multiplicity 4)
Y 0.000 0.413 0.750 (multiplicity 4)
Tm 0.093 0.196 0.031 (multiplicity 8)
Tm 0.201 0.367 0.378 (multiplicity 8)

Calculated values
offset from the most stable computed form = 0.74 eV/f.u.
volume = 770 Å³/cell
M_tot = 0.000 μB per formula unit

---

No. 5
Compound: Nd5Y4Tm4
Source: Alexandria via LeMat-Bulk
Functional: PBE
Structure: optimized geometry

abc: 12.949 12.949 5.070
angles: 90.00 90.00 90.00
Space group I4/m (No. 87)
Unique sites:
Nd 0.000 0.000 0.000 (multiplicity 2)
Nd 0.040 0.807 0.500 (multiplicity 8)
Y 0.077 0.615 0.000 (multiplicity 8)
Tm 0.155 0.233 0.000 (multiplicity 8)

Calculated values
volume = 850 Å³/cell
M_tot = 0.000 μB per formula unit
energy = -5.1770 eV per atom

---

No. 6
Compound: NdYTmZr
Source: Alexandria via LeMat-Bulk
Functional: PBE
Structure: optimized geometry

abc: 7.803 7.803 7.803
angles: 90.00 90.00 90.00
Space group F-43m (No. 216)
Unique sites:
Nd 0.000 0.000 0.000 (multiplicity 4)
Y 0.250 0.250 0.250 (multiplicity 4)
Tm 0.250 0.250 0.750 (multiplicity 4)
Zr 0.000 0.000 0.500 (multiplicity 4)

Calculated values
volume = 475 Å³/cell
M_tot = 1.389 μB per formula unit
energy = -5.8443 eV per atom

---

No. 7
Compound: Nd3Y2Tm6Zr
Source: Alexandria via LeMat-Bulk
Functional: PBE
Structure: optimized geometry

abc: 6.115 10.581 11.595
angles: 90.00 100.10 90.00
Space group C2/m (No. 12)
Unique sites:
Nd 0.000 0.000 0.000 (multiplicity 2)
Nd 0.000 0.334 0.000 (multiplicity 4)
Y 0.000 0.167 0.500 (multiplicity 4)
Tm 0.243 0.337 0.742 (multiplicity 8)
Tm 0.245 0.500 0.258 (multiplicity 4)
Zr 0.000 0.500 0.500 (multiplicity 2)

Calculated values
volume = 739 Å³/cell
M_tot = 0.000 μB per formula unit
energy = -5.1700 eV per atom

---

No. 8
Compound: Nd2Y3Tm6Zr
Source: Alexandria via LeMat-Bulk
Functional: PBE
Structure: optimized geometry

abc: 6.088 10.531 11.621
angles: 90.00 100.01 90.00
Space group C2/m (No. 12)
Unique sites:
Nd 0.000 0.167 0.000 (multiplicity 4)
Y 0.000 0.000 0.500 (multiplicity 2)
Y 0.000 0.334 0.500 (multiplicity 4)
Tm 0.244 0.500 0.754 (multiplicity 4)
Tm 0.245 0.337 0.246 (multiplicity 8)
Zr 0.000 0.500 0.000 (multiplicity 2)

Calculated values
volume = 734 Å³/cell
M_tot = 0.000 μB per formula unit
energy = -5.3021 eV per atom

---

No. 9
Compound: NdTm2Zn3
Source: Alexandria via LeMat-Bulk
Functional: PBE
Structure: optimized geometry

abc: 3.569 3.569 10.778
angles: 90.00 90.00 90.00
Space group P4/mmm (No. 123)
Unique sites:
Nd 0.000 0.000 0.000 (multiplicity 1)
Tm 0.000 0.000 0.338 (multiplicity 2)
Zn 0.500 0.500 0.183 (multiplicity 2)
Zn 0.500 0.500 0.500 (multiplicity 1)

Calculated values
volume = 137 Å³/cell
M_tot = 0.002 μB per formula unit
energy = -3.2506 eV per atom

---

No. 10
Compound: Nd2TmZn
Source: Alexandria via LeMat-Bulk
Functional: PBE
Structure: optimized geometry

abc: 3.6571 3.6571 31.3334
angles: 90.00 90.00 120.00
Space group R3m (No. 160, hexagonal axes)
Unique sites:
Nd 0.0000 0.0000 0.0000 (multiplicity 3)
Nd 0.0000 0.0000 0.1848 (multiplicity 3)
Tm 0.0000 0.0000 0.7593 (multiplicity 3)
Zn 0.0000 0.0000 0.5926 (multiplicity 3)

Calculated values
offset from the most stable computed form = 0.56 eV/f.u.
volume = 363 Å³/cell
M_tot = 0.002 μB per formula unit

---

No. 11
Compound: Nd2TmZn
Source: Alexandria via LeMat-Bulk
Functional: PBE
Structure: optimized geometry

abc: 3.4996 3.4996 36.0661
angles: 90.00 90.00 120.00
Space group R-3m (No. 166, hexagonal axes)
Unique sites:
Nd 0.0000 0.0000 0.0874 (multiplicity 6)
Tm 0.0000 0.0000 0.5000 (multiplicity 3)
Zn 0.0000 0.0000 0.0000 (multiplicity 3)

Calculated values
offset from the most stable computed form = 1.58 eV/f.u.
volume = 383 Å³/cell
M_tot = 0.000 μB per formula unit

---

No. 12
Compound: Nd3Tm4Zn
Source: Alexandria via LeMat-Bulk
Functional: PBE
Structure: optimized geometry

abc: 3.564 3.564 18.850
angles: 90.00 90.00 90.00
Space group P4/mmm (No. 123)
Unique sites:
Nd 0.000 0.000 0.000 (multiplicity 1)
Nd 0.000 0.000 0.270 (multiplicity 2)
Tm 0.500 0.500 0.135 (multiplicity 2)
Tm 0.500 0.500 0.408 (multiplicity 2)
Zn 0.000 0.000 0.500 (multiplicity 1)

Calculated values
volume = 239 Å³/cell
M_tot = 0.000 μB per formula unit
energy = -4.2553 eV per atom